Entry i
## LiCdNO (PBE)

Data for a geometry-optimized LiCdNO structure.

Cell: 3.496 4.457 6.457 Å, 90.00 90.00 90.00°
Atoms (fractional coordinates):
Cd 0.000 0.442 0.323
Cd 0.000 0.942 0.677
Li 0.500 0.951 0.150
Li 0.500 0.451 0.850
N 0.000 0.940 0.342
N 0.000 0.440 0.658
O 0.500 0.421 0.137
O 0.500 0.921 0.863

Computed properties:
Mass density (g cm⁻³): 4.93

=====

Entry ii
## LiCdNO (PBE)

Data for a geometry-optimized LiCdNO structure.

Cell: 4.459 4.459 4.384 Å, 90.00 90.00 90.00°
Atoms (fractional coordinates):
Cd 0.000 0.000 0.500
Cd 0.500 0.500 0.500
Li 0.000 0.500 0.001
Li 0.500 0.000 0.999
N 0.500 0.000 0.498
N 0.000 0.500 0.502
O 0.000 0.000 0.000
O 0.500 0.500 0.000

Computed properties:
Mass density (g cm⁻³): 5.69

=====

Entry iii
## LiCdNO (PBE)

Data for a geometry-optimized LiCdNO structure.

Cell: 3.996 3.996 6.717 Å, 90.00 90.00 90.01°
Atoms (fractional coordinates):
Cd 0.250 0.250 0.144
Cd 0.750 0.750 0.856
Li 0.750 0.250 0.500
Li 0.250 0.750 0.500
N 0.250 0.250 0.475
N 0.750 0.750 0.525
O 0.750 0.250 0.000
O 0.250 0.750 0.000

Computed properties:
Mass density (g cm⁻³): 4.63

=====

Quick look at relative energies in meV per atom: entry i 30; entry ii 0; entry iii 115.

=====

Entry i
## LiCdNO (PBE)

Data for a geometry-optimized LiCdNO structure.

Cell: 5.650 7.222 4.244 Å, 90.00 90.00 90.00°
Atoms (fractional coordinates):
Cd 0.482 0.332 0.112
Cd 0.982 0.668 0.112
Cd 0.018 0.332 0.612
Cd 0.518 0.668 0.612
Li 0.942 0.101 0.114
Li 0.442 0.899 0.114
Li 0.558 0.101 0.614
Li 0.058 0.899 0.614
N 0.250 0.092 0.364
N 0.750 0.908 0.364
N 0.250 0.092 0.864
N 0.750 0.908 0.864
O 0.898 0.362 0.112
O 0.398 0.638 0.112
O 0.602 0.362 0.612
O 0.102 0.638 0.612

Computed properties:
Mass density (g cm⁻³): 5.73

=====

Entry ii
## LiCdNO (PBE)

Data for a geometry-optimized LiCdNO structure.

Cell: 3.697 4.142 6.182 Å, 90.00 90.00 90.00°
Atoms (fractional coordinates):
Cd 0.500 0.945 0.240
Cd 0.500 0.445 0.760
Li 0.000 0.453 0.234
Li 0.000 0.953 0.766
N 0.000 0.915 0.446
N 0.000 0.415 0.554
O 0.500 0.442 0.136
O 0.500 0.942 0.864

Computed properties:
Mass density (g cm⁻³): 5.24

=====

Quick look at relative energies in meV per atom: entry i 5; entry ii 0.

=====

Entry i
## NaLiCd2 (PBE)

Data for a geometry-optimized NaLiCd2 structure.

Cell: 4.861 4.854 6.887 Å, 90.00 90.00 90.00°
Atoms (fractional coordinates):
Cd 0.250 0.000 0.142
Cd 0.250 0.500 0.388
Cd 0.750 0.500 0.612
Cd 0.750 0.000 0.858
Li 0.750 0.000 0.389
Li 0.250 0.000 0.611
Na 0.750 0.500 0.131
Na 0.250 0.500 0.869

Computed properties:
Mass density (g cm⁻³): 5.21

=====

Entry ii
## NaLiCd2 (PBE)

Data for a geometry-optimized NaLiCd2 structure.

Cell: 4.864 4.864 4.864 Å, 60.00 60.00 60.00°
Atoms (fractional coordinates):
Cd 0.000 0.000 0.000
Cd 0.750 0.750 0.750
Li 0.500 0.500 0.500
Na 0.250 0.250 0.250

Computed properties:
Mass density (g cm⁻³): 5.20

=====

Quick look at relative energies in meV per atom: entry i 0; entry ii 10.

=====

Entry i
## LiNbCdNi (PBE)

Data for a geometry-optimized LiNbCdNi structure.

Cell: 4.359 4.359 4.359 Å, 60.00 60.00 60.00°
Atoms (fractional coordinates):
Cd 0.500 0.500 0.500
Li 0.750 0.750 0.750
Nb 0.000 0.000 0.000
Ni 0.250 0.250 0.250

Computed properties:
Mass density (g cm⁻³): 7.68

=====

Entry ii
## LiNbCdNi (PBE)

Data for a geometry-optimized LiNbCdNi structure.

Cell: 4.453 4.453 4.453 Å, 60.00 60.00 60.00°
Atoms (fractional coordinates):
Cd 0.000 0.000 0.000
Li 0.750 0.750 0.750
Nb 0.250 0.250 0.250
Ni 0.500 0.500 0.500

Computed properties:
Mass density (g cm⁻³): 7.21

=====

Quick look at relative energies in meV per atom: entry i 0; entry ii 170.